Entry 1:
The following is a PBE calculation of a relaxed structure of CuTe2MoI, from the Alexandria database.

```
5
Lattice="5.197 0.000 0.000 0.000 5.197 0.000 0.000 0.000 5.241" Properties=species:S:1:pos:R:3 pbc="T T T"
Te 2.598 0.000 0.000
Te 0.000 2.598 0.000
I 0.000 0.000 2.620
Cu 0.000 0.000 0.000
Mo 2.598 2.598 2.620
```

Output
M_tot: 3.56 μB per formula unit
Energy above the lowest structure with this stoichiometry: 0.2406 eV/atom
Electronic total energy: -17.87 eV for the cell shown
E_form (uncorrected): 4.9 eV/f.u.

***

Entry 2:
The following is a PBE calculation of a relaxed structure of NdDySnTe, from the Alexandria database.

```
4
Lattice="-0.667 -3.066 3.159 0.622 -4.313 -0.916 6.994 -1.883 2.786" Properties=species:S:1:pos:R:3 pbc="T T T"
Te 2.980 -2.213 1.619
Dy 4.724 -4.528 2.878
Sn 6.326 -6.854 4.096
Nd 1.050 -7.289 2.561
```

Output
M_tot: 0.00 μB per formula unit
Electronic total energy: -20.82 eV for the cell shown
E_form (uncorrected): -4.3 eV/f.u.